No. 1
A relaxed SnIN2Cl crystal. Source: Alexandria, functional GGA-PBE.

a b c (Å): 4.4315 4.4315 5.1575
angles (deg): 90.00 90.00 90.00
Closest atoms and distances in Å follow each position.
Fractional coordinates of all 5 atoms:
Sn: 0.0000 0.0000 0.0000  4 I 3.13, 8 N 3.40
I: 0.5000 0.5000 0.0000  2 Cl 2.58
N: 0.0000 0.5000 0.5000  2 Cl 2.22
N: 0.5000 0.0000 0.5000  2 Cl 2.22
Cl: 0.5000 0.5000 0.5000  4 N 2.22

Computed properties:
As for the energy: -2.6971 eV per atom. As for the uncorrected formation energy: 2.113 eV per atom. As for the space group: P4/mmm, No. 123. For the density, the calculation gives 5.1 g/cm3.

***

No. 2
A relaxed Mn2ZnH2 crystal. Source: Alexandria, functional GGA-PBE.

a b c (Å): 5.6853 5.6853 2.6134
angles (deg): 90.00 90.00 90.00
Closest atoms and distances in Å follow each position.
Fractional coordinates of all 10 atoms:
Mn: 0.1283 0.3717 0.0000  4 H 1.94, 1 Mn 2.06
Mn: 0.3717 0.8717 0.0000  4 H 1.94, 1 Mn 2.06
Mn: 0.6283 0.1283 0.0000  4 H 1.94, 1 Mn 2.06
Mn: 0.8717 0.6283 0.0000  4 H 1.94, 1 Mn 2.06
Zn: 0.0000 0.0000 0.5000  4 H 2.25
Zn: 0.5000 0.5000 0.5000  4 H 2.25
H: 0.1235 0.6235 0.5000  4 Mn 1.94, 1 H 1.99
H: 0.3765 0.1235 0.5000  4 Mn 1.94, 1 H 1.99
H: 0.6235 0.8765 0.5000  4 Mn 1.94, 1 H 1.99
H: 0.8765 0.3765 0.5000  4 Mn 1.94, 1 H 1.99

Computed properties:
As for the energy: -4.8825 eV per atom. As for the space group: P4/mbm, No. 127. For the density, the calculation gives 7.0 g/cm3.